# 1
# GGA-PBE AcTaAs2Rh5, relaxed
# ρ = 9.7 g cm⁻³
# magnetization = 0.0 μB/f.u.
# VASP energy = -7.26 eV/atom
data_AcTaAs2Rh5
_chemical_formula_sum 'Ac1 Ta1 As2 Rh5'
_cell_length_a 4.132
_cell_length_b 4.132
_cell_length_c 10.732
_cell_angle_alpha 90.00
_cell_angle_beta 90.00
_cell_angle_gamma 90.00
_space_group_name_H-M_alt 'P 4/m m m'
_space_group_IT_number 123
_space_group_name_Hall '-P 4 2'
loop_
_atom_site_label
_atom_site_fract_x
_atom_site_fract_y
_atom_site_fract_z
Ac1 0.000 0.000 0.000
Ta1 0.500 0.500 0.500
As1 0.500 0.500 0.223
Rh1 0.000 0.500 0.352
Rh2 0.500 0.500 0.000

=====

# 2
# GGA-PBE Mn2HOs, relaxed
# ρ = 12.5 g cm⁻³
# energy above the lowest structure with this stoichiometry = 389.9 meV per atom
# magnetization = 0.0 μB/f.u.
# VASP energy = -7.87 eV/atom
data_Mn2HOs
_chemical_formula_sum 'Mn8 H4 Os4'
_cell_length_a 5.224
_cell_length_b 5.224
_cell_length_c 5.868
_cell_angle_alpha 90.00
_cell_angle_beta 90.00
_cell_angle_gamma 90.00
_space_group_name_H-M_alt 'I -4 2 d'
_space_group_IT_number 122
_space_group_name_Hall 'I -4 2bw'
loop_
_atom_site_label
_atom_site_fract_x
_atom_site_fract_y
_atom_site_fract_z
Mn1 0.119 0.250 0.125
H1 0.000 0.000 0.000
Os1 0.000 0.000 0.500

=====

# 3
# GGA-PBE Mn2ZnRh, relaxed
# ρ = 8.3 g cm⁻³
# magnetization = 6.8 μB/f.u.
# VASP energy = -6.75 eV/atom
data_Mn2ZnRh
_chemical_formula_sum 'Mn4 Zn2 Rh2'
_cell_length_a 8.954
_cell_length_b 2.794
_cell_length_c 4.532
_cell_angle_alpha 90.00
_cell_angle_beta 102.44
_cell_angle_gamma 90.00
_space_group_name_H-M_alt 'C 1 m 1'
_space_group_IT_number 8
_space_group_name_Hall 'C -2y'
loop_
_atom_site_label
_atom_site_fract_x
_atom_site_fract_y
_atom_site_fract_z
Mn1 0.000 0.000 0.000
Mn2 0.247 0.000 0.733
Zn1 0.251 0.500 0.235
Rh1 0.497 0.000 0.498

=====

# 4
# GGA-PBE ZnIrCl2, relaxed
# ρ = 5.4 g cm⁻³
# energy above the lowest structure with this stoichiometry = 51.2 meV per atom
# magnetization = 0.0 μB/f.u.
# VASP energy = -3.62 eV/atom
# formation energy (no corrections) = -0.6 eV per formula unit
data_ZnIrCl2
_chemical_formula_sum 'Zn1 Ir1 Cl2'
_cell_length_a 5.046
_cell_length_b 3.570
_cell_length_c 6.145
_cell_angle_alpha 90.00
_cell_angle_beta 113.40
_cell_angle_gamma 90.00
_space_group_name_H-M_alt 'P 1 2/m 1'
_space_group_IT_number 10
_space_group_name_Hall '-P 2y'
loop_
_atom_site_label
_atom_site_fract_x
_atom_site_fract_y
_atom_site_fract_z
Zn1 0.000 0.000 0.000
Ir1 0.500 0.000 0.000
Cl1 0.363 0.500 0.725

=====

# 5
# GGA-PBE Fe4Pt2Rh5, relaxed
# ρ = 11.4 g cm⁻³
# magnetization = 14.9 μB/f.u.
# VASP energy = -7.34 eV/atom
data_Fe4Pt2Rh5
_chemical_formula_sum 'Fe8 Pt4 Rh10'
_cell_length_a 16.630
_cell_length_b 4.108
_cell_length_c 4.889
_cell_angle_alpha 90.00
_cell_angle_beta 101.55
_cell_angle_gamma 90.00
_space_group_name_H-M_alt 'C 1 2/m 1'
_space_group_IT_number 12
_space_group_name_Hall '-C 2y'
loop_
_atom_site_label
_atom_site_fract_x
_atom_site_fract_y
_atom_site_fract_z
Fe1 0.032 0.000 0.301
Fe2 0.222 0.500 0.869
Pt1 0.084 0.500 0.573
Rh1 0.000 0.500 0.000
Rh2 0.125 0.000 0.962
Rh3 0.197 0.000 0.517

=====

# 6
# GGA-PBE TbEr2Tm, relaxed
# ρ = 9.0 g cm⁻³
# energy above the lowest structure with this stoichiometry = 22.6 meV per atom
# magnetization = 0.0 μB/f.u.
# VASP energy = -4.53 eV/atom
data_TbEr2Tm
_chemical_formula_sum 'Tb1 Er2 Tm1'
_cell_length_a 4.959
_cell_length_b 4.959
_cell_length_c 4.963
_cell_angle_alpha 90.00
_cell_angle_beta 90.00
_cell_angle_gamma 90.00
_space_group_name_H-M_alt 'P 4/m m m'
_space_group_IT_number 123
_space_group_name_Hall '-P 4 2'
loop_
_atom_site_label
_atom_site_fract_x
_atom_site_fract_y
_atom_site_fract_z
Tb1 0.000 0.000 0.000
Er1 0.000 0.500 0.500
Tm1 0.500 0.500 0.000

=====

Look up the VASP energy of the fourth one.
-3.62 eV/atom